(w)
BaPmNd2 | Alexandria | PBE | optimized geometry; space group = R3m (160); Fermi-level density of states = 6.3 states/eV/cell
1.0
1.904 1.100 12.536
-1.904 1.100 12.536
0.000 -2.199 12.536
Ba Pm Nd
1 1 2
Cartesian
0.000 0.000 0.000
0.000 0.000 6.265
0.000 0.000 15.925
0.000 0.000 21.701

***

(x)
BaPmNd2 | Alexandria | PBE | optimized geometry; space group = P4/mmm (123); Fermi-level density of states = 6.2 states/eV/cell
1.0
3.785 0.000 0.000
0.000 3.785 0.000
0.000 0.000 11.062
Ba Pm Nd
1 1 2
Cartesian
0.000 0.000 0.000
0.000 0.000 5.531
1.893 1.893 3.097
1.893 1.893 7.965

***

Name the most stable of them. (x).

***

(w)
BaPrNd2 | Alexandria | PBE | optimized geometry; space group = R-3m (166); Fermi-level density of states = 6.6 states/eV/cell
1.0
1.865 1.077 13.274
-1.865 1.077 13.274
0.000 -2.153 13.274
Ba Pr Nd
1 1 2
Cartesian
0.000 0.000 0.000
0.000 0.000 19.911
0.000 0.000 3.685
0.000 0.000 36.136

***

(x)
BaPrNd2 | Alexandria | PBE | optimized geometry; space group = P4/mmm (123); Fermi-level density of states = 7.2 states/eV/cell
1.0
5.411 0.000 0.000
0.000 5.411 0.000
0.000 0.000 5.386
Ba Pr Nd
1 1 2
Cartesian
0.000 0.000 0.000
2.705 2.705 0.000
0.000 2.705 2.693
2.705 0.000 2.693

***

Name the most stable of them. (x).

***

(w)
BaPrNd2 | Alexandria | PBE | optimized geometry; space group = R3m (160); Fermi-level density of states = 6.4 states/eV/cell
1.0
1.913 1.104 12.601
-1.913 1.104 12.601
0.000 -2.209 12.601
Ba Pr Nd
1 1 2
Cartesian
0.000 0.000 0.000
0.000 0.000 6.290
0.000 0.000 15.977
0.000 0.000 21.834

***

(x)
BaPrNd2 | Alexandria | PBE | optimized geometry; space group = P4/mmm (123); Fermi-level density of states = 6.7 states/eV/cell
1.0
3.798 0.000 0.000
0.000 3.798 0.000
0.000 0.000 11.131
Ba Pr Nd
1 1 2
Cartesian
0.000 0.000 0.000
0.000 0.000 5.566
1.899 1.899 3.096
1.899 1.899 8.035

***

Name the most stable of them. (x).